Record 1
Computed, not measured: Sr2ScGaO5 after structural relaxation at the PBE-GGA level of DFT.

The structure belongs to space group Cmc2_1 (No. 36); the cell edges are 3.3208, 14.3004 and 10.7203 Å and the angles 90.00°, 90.00° and 90.00°. Symmetry generates all atoms from Sr at (0.0000, 0.1044, 0.0000), Sr at (0.0000, 0.1377, 0.6429), Sc at (0.0000, 0.2154, 0.3561), Ga at (0.0000, 0.4480, 0.7683), O at (0.0000, 0.0480, 0.3567), O at (0.0000, 0.2852, 0.9825), O at (0.0000, 0.3166, 0.7256), O at (0.0000, 0.3523, 0.3300) and O at (0.0000, 0.4968, 0.1143).

The excess energy over the best structure of this formula in the dataset comes out at 63 meV/atom. The density of states at the Fermi level is 0.0 states/eV/f.u. The calculated volume is 509.1 Å³/cell. As for the calculated density: 4.826 g/cm3.

=====

Record 2
Computed, not measured: Pm2Ag2Ge3 after structural relaxation at the PBE-GGA level of DFT.

The structure belongs to space group Cmcm (No. 63); the cell edges are 4.4414, 18.8944 and 7.1868 Å and the angles 90.00°, 90.00° and 90.00°. Symmetry generates all atoms from Pm at (0.0000, 0.0521, 0.2500), Pm at (0.0000, 0.1534, 0.7500), Ag at (0.0000, 0.3100, 0.5543), Ge at (0.0000, 0.2220, 0.2500) and Ge at (0.0000, 0.4400, 0.0703).

The density of states at the Fermi level is 1.6 states/eV/f.u. The calculated volume is 603.1 Å³/cell. As for the calculated density: 7.970 g/cm3. The calculation puts the electronic total energy at -4.721 eV/atom.

=====

Record 3
Computed, not measured: CaMgC after structural relaxation at the PBE-GGA level of DFT.

The structure belongs to space group Cm (No. 8); the cell edges are 11.9038, 3.6036 and 5.9580 Å and the angles 90.00°, 90.71° and 90.00°. Symmetry generates all atoms from Ca at (0.0000, 0.0000, 0.0000), Ca at (0.2273, 0.5000, 0.3562), Mg at (0.2564, 0.0000, 0.8439), Mg at (0.4623, 0.0000, 0.5064), C at (0.0720, 0.0000, 0.3911) and C at (0.1015, 0.0000, 0.6062).

The density of states at the Fermi level is 1.4 states/eV/f.u. The calculated volume is 255.6 Å³/cell. As for the calculated density: 1.986 g/cm3. The calculation puts the electronic total energy at -4.182 eV/atom.

=====

Record 4
Computed, not measured: SbMo2Os after structural relaxation at the PBE-GGA level of DFT.

The structure belongs to space group R-3m (No. 166, hexagonal axes); the cell edges are 2.9518, 2.9518 and 26.8920 Å and the angles 90.00°, 90.00° and 120.00°. Symmetry generates all atoms from Sb at (0.0000, 0.0000, 0.0000), Mo at (0.0000, 0.0000, 0.2455) and Os at (0.0000, 0.0000, 0.5000).

The density of states at the Fermi level is 4.7 states/eV/f.u. The calculated volume is 202.9 Å³/cell. As for the calculated density: 12.370 g/cm3. The calculation puts the electronic total energy at -8.840 eV/atom.